Below is a relaxed CaZnSnHg crystal, with properties calculated at the PBE level.

Values from the calculation:
- DOS at the Fermi energy: 1.5 states/eV/cell
- Symmetry: F-43m (216)
- Total energy: -8.71 eV per formula unit
- ΔE_f: -0.282 eV/atom
- Density: 7.3 Mg/m³

```
CaZnSnHg
1.0
0.000 3.635 3.635
3.635 0.000 3.635
3.635 3.635 0.000
Ca Zn Sn Hg
1 1 1 1
Cartesian
0.000 0.000 0.000
5.452 5.452 5.452
3.635 3.635 3.635
1.817 1.817 1.817
```